[1]
The following is a DFT calculation (PBE-GGA) of a geometry-optimized TaVCdOs2 structure.

The space group is P4/mmm (No. 123) and the conventional cell measures 4.769, 4.769 and 4.534 Å, with angles of 90.00, 90.00 and 90.00 degrees. Symmetry generates all atoms from Ta at (0.000, 0.000, 0.000), V at (0.500, 0.500, 0.000), Cd at (0.500, 0.500, 0.500) and Os at (0.000, 0.500, 0.500).

The energy relative to the elements is 2.4532 eV per atom. Its raw total energy is -32.08 eV per formula unit. Its density is 11.67 g/cm3. The calculation puts the magnetization at 2.63 μB/f.u.

[2]
The following is a DFT calculation (PBE-GGA) of a geometry-optimized Sc3CdN structure.

The space group is Cmmm (No. 65) and the conventional cell measures 6.380, 12.741 and 4.469 Å, with angles of 90.00, 90.00 and 90.00 degrees. Symmetry generates all atoms from Sc at (0.000, 0.134, 0.000), Sc at (0.237, 0.000, 0.500), Sc at (0.250, 0.250, 0.500), Cd at (0.000, 0.378, 0.000) and N at (0.000, 0.130, 0.500).

Its raw total energy is -32.96 eV per formula unit. Its density is 4.78 g/cm3. The calculation puts the magnetization at 0.00 μB/f.u. As for the uncorrected formation energy: -945 meV/atom.

[3]
The following is a DFT calculation (PBE-GGA) of a geometry-optimized K5Ac3Sb12 structure.

The space group is Ia-3d (No. 230) and the conventional cell measures 20.077, 20.077 and 20.077 Å, with angles of 90.00, 90.00 and 90.00 degrees. Symmetry generates all atoms from K at (0.000, 0.000, 0.000), K at (0.000, 0.250, 0.375), Ac at (0.000, 0.250, 0.125) and Sb at (0.009, 0.087, 0.161).

Its raw total energy is -75.47 eV per formula unit. Its density is 3.84 g/cm3. The calculation puts the magnetization at 0.00 μB/f.u. As for the uncorrected formation energy: -409 meV/atom.

What is the magnetization in the second record? 0.00 μB/f.u.

What is the raw total energy in the first record? -32.08 eV per formula unit

The highest density belongs to which entry? TaVCdOs2